A plane-wave DFT calculation with PBE-GGA was carried out for a geometry-optimized BeAlCoRh structure.

abc: 4.0033 4.0033 4.0033
angles: 60.00 60.00 60.00
Element x y z (fractional)
Co 0.5000 0.5000 0.5000
Al 0.2500 0.2500 0.2500
Be 0.7500 0.7500 0.7500
Rh 0.0000 0.0000 0.0000

Properties
energy of formation: -0.624 eV/atom
density of states at the Fermi level: 1.760 states/eV/cell
energy: -6.105 eV per atom
space-group type: F-43m